4
Lattice="-2.566 -2.503 -1.337 2.157 -3.003 1.482 -2.019 0.241 3.425" Properties=species:S:1:pos:R:3 comment="ScCoPd2 (PBE, optimized geometry)" final_energy_ev_per_cell=-25.95 e_form_ev_per_atom=-0.5316 pbc="T T T"
Pd 1.078 -1.501 0.741
Sc -1.283 -1.251 -0.668
Pd -1.010 0.120 1.712
Co -1.214 -2.632 1.785